Entry 1:
Material: LiMnAs2
Method: DFT, PBE
State: optimized geometry

POSCAR file:
```
LiMnAs2
1.0
4.991 -1.408 0.000
4.991 1.408 0.000
-0.017 0.000 4.609
Li Mn As
1 1 2
Cartesian
0.000 0.000 0.000
2.226 0.000 1.846
4.948 0.000 2.330
7.356 0.000 4.214
```

Calculated values
Its density of states at the Fermi level is 0.317 states/eV/atom. Its total energy is -21.00 eV/cell.

Entry 2:
Material: Li2MnAs
Method: DFT, PBE
State: optimized geometry

POSCAR file:
```
Li2MnAs
1.0
3.745 0.000 0.000
0.000 3.745 0.000
0.000 0.000 4.220
Li Mn As
2 1 1
Cartesian
0.000 1.872 0.000
1.872 0.000 0.000
0.000 0.000 2.110
1.872 1.872 2.110
```

Calculated values
Its density of states at the Fermi level is 0.300 states/eV/atom. Its total energy is -18.79 eV/cell.

Entry 3:
Material: LiMnAs2
Method: DFT, PBE
State: optimized geometry

POSCAR file:
```
LiMnAs2
1.0
1.621 0.936 7.351
-1.621 0.936 7.351
0.000 -1.871 7.351
Li Mn As
1 1 2
Cartesian
0.000 0.000 0.000
0.000 0.000 11.026
0.000 0.000 5.312
0.000 0.000 16.740
```

Calculated values
Its density of states at the Fermi level is 0.268 states/eV/atom. Its total energy is -21.63 eV/cell.

Entry 4:
Material: LiMnAs2
Method: DFT, PBE
State: optimized geometry

POSCAR file:
```
LiMnAs2
1.0
3.015 -3.689 0.000
3.015 3.689 0.000
0.000 0.000 2.906
Li Mn As
1 1 2
Cartesian
0.000 0.000 0.000
3.015 0.000 0.000
1.508 1.845 1.453
1.508 -1.845 1.453
```

Calculated values
Its density of states at the Fermi level is 0.369 states/eV/atom. Its total energy is -21.03 eV/cell.

Entry 5:
Material: Li2MnAs
Method: DFT, PBE
State: optimized geometry

POSCAR file:
```
Li2MnAs
1.0
2.919 0.000 0.000
0.000 4.076 0.000
-0.344 0.000 5.177
Li Mn As
2 1 1
Cartesian
-0.010 0.000 1.376
2.585 0.000 3.801
1.459 2.038 0.000
1.288 2.038 2.588
```

Calculated values
Its density of states at the Fermi level is 0.456 states/eV/atom. Its total energy is -18.14 eV/cell.

Entry 6:
Material: LiMn3As
Method: DFT, PBE
State: optimized geometry

POSCAR file:
```
LiMn3As
1.0
4.287 0.000 0.000
0.000 4.287 0.000
0.000 0.000 4.287
Li Mn As
1 3 1
Cartesian
0.000 0.000 0.000
0.000 0.000 2.144
0.000 2.144 0.000
2.144 0.000 0.000
2.144 2.144 2.144
```

Calculated values
Its density of states at the Fermi level is 0.434 states/eV/atom. Its total energy is -29.83 eV/cell.

Entry 7:
Material: LiMnAs2
Method: DFT, PBE
State: optimized geometry

POSCAR file:
```
LiMnAs2
1.0
1.542 0.890 8.394
-1.542 0.890 8.394
0.000 -1.780 8.394
Li Mn As
1 1 2
Cartesian
0.000 0.000 0.000
0.000 0.000 6.053
0.000 0.000 12.773
0.000 0.000 18.840
```

Calculated values
Its density of states at the Fermi level is 0.619 states/eV/atom. Its total energy is -19.58 eV/cell.

Entry 8:
Material: Li2MnAs
Method: DFT, PBE
State: optimized geometry

POSCAR file:
```
Li2MnAs
1.0
-1.846 1.846 9.444
1.846 -1.846 9.444
1.846 1.846 -9.444
Li Mn As
4 2 2
Cartesian
2.769 0.860 -2.361
0.860 0.923 2.361
-0.923 0.986 7.083
0.986 0.923 11.806
1.846 0.000 4.722
0.000 0.000 9.444
0.000 0.000 0.000
0.000 1.846 4.722
```

Calculated values
Its density of states at the Fermi level is 0.310 states/eV/atom. Its total energy is -35.86 eV/cell.

Entry 9:
Material: LiMnAs2
Method: DFT, PBE
State: optimized geometry

POSCAR file:
```
LiMnAs2
1.0
1.605 0.927 7.451
-1.605 0.927 7.451
0.000 -1.854 7.451
Li Mn As
1 1 2
Cartesian
0.000 0.000 0.000
0.000 0.000 18.709
0.000 0.000 5.434
0.000 0.000 9.602
```

Calculated values
Its density of states at the Fermi level is 0.263 states/eV/atom. Its total energy is -21.60 eV/cell.

Entry 10:
Material: Li2MnAs
Method: DFT, PBE
State: optimized geometry

POSCAR file:
```
Li2MnAs
1.0
2.572 -4.011 0.000
2.572 4.011 0.000
0.000 0.000 2.970
Li Mn As
2 1 1
Cartesian
1.286 2.006 0.000
1.286 -2.006 0.000
0.000 0.000 1.485
2.572 0.000 1.485
```

Calculated values
Its density of states at the Fermi level is 0.547 states/eV/atom. Its total energy is -17.93 eV/cell.

Entry 11:
Material: Li3MnAs2
Method: DFT, PBE
State: optimized geometry

POSCAR file:
```
Li3MnAs2
1.0
4.226 0.000 0.000
0.000 4.226 0.000
0.000 0.000 6.020
Li Mn As
3 1 2
Cartesian
0.000 0.000 0.000
0.000 0.000 3.010
2.113 2.113 0.000
2.113 2.113 3.010
0.000 2.113 4.408
2.113 0.000 1.611
```

Calculated values
Its density of states at the Fermi level is 0.260 states/eV/atom. Its total energy is -27.16 eV/cell.

Entry 12:
Material: Li2MnAs
Method: DFT, PBE
State: optimized geometry

POSCAR file:
```
Li2MnAs
1.0
-2.153 2.153 3.054
2.153 -2.153 3.054
2.153 2.153 -3.054
Li Mn As
2 1 1
Cartesian
0.000 0.000 0.000
0.000 2.153 1.527
2.153 0.000 1.527
0.000 0.000 3.054
```

Calculated values
Its density of states at the Fermi level is 0.384 states/eV/atom. Its total energy is -18.76 eV/cell.